Density functional theory data (PBE) for an optimized crystal structure of Mg2Mn2Cd.

Calculated values
The calculation puts the energy of formation at 8.55 kcal/mol of atoms. For the volume, the calculation gives 18.0 Å³/atom. The calculation puts the total DFT energy (no corrections) at -41.18 eV/cell.

abc: 6.6047 6.6047 4.1284
angles: 90.00 90.00 90.00
Closest atoms and distances in Å follow each position.
Space group P4/mbm (No. 127)
Asymmetric unit:
Mg: 0.1785 0.3215 0.0000 (multiplicity 4)  6 Mn 2.84-2.87
Mn: 0.1076 0.6076 0.5000 (multiplicity 4)  1 Mn 2.01
Cd: 0.0000 0.0000 0.5000 (multiplicity 2)  4 Mn 2.69